(1)
{
  "formula": "ZnCoSbOs",
  "functional": "PBE-GGA",
  "state": "relaxed",
  "lattice": [[0.0000, 3.0825, 3.0825], [3.0825, 0.0000, 3.0825], [3.0825, 3.0825, 0.0000]],
  "species": ["Co", "Os", "Sb", "Zn"],
  "fractional_positions": [[0.7500, 0.7500, 0.7500], [0.2500, 0.2500, 0.2500], [0.0000, 0.0000, 0.0000], [0.5000, 0.5000, 0.5000]],
  "e_above_lowest_polymorph_ev_per_fu": 0.00,
  "dft_energy_ry_per_atom": -0.4190
}

***

(2)
{
  "formula": "LiGaHg2F6",
  "functional": "PBE-GGA",
  "state": "relaxed",
  "lattice": [[3.7220, -2.3542, 3.3989], [-1.3556, -1.0859, 5.2850], [-0.6943, -5.2613, 1.6689]],
  "species": ["F", "F", "F", "F", "F", "F", "Ga", "Hg", "Hg", "Li"],
  "fractional_positions": [[0.2436, 0.7564, 0.2436], [0.7564, 0.2436, 0.2436], [0.7564, 0.7564, 0.2436], [0.2436, 0.2436, 0.7564], [0.7564, 0.2436, 0.7564], [0.2436, 0.7564, 0.7564], [0.0000, 0.0000, 0.0000], [0.2500, 0.2500, 0.2500], [0.7500, 0.7500, 0.7500], [0.5000, 0.5000, 0.5000]],
  "dft_energy_ry_per_atom": -0.2643
}

***

(3)
{
  "formula": "NaDyPt4",
  "functional": "PBE-GGA",
  "state": "relaxed",
  "lattice": [[-4.1407, -0.5288, 3.4118], [-4.2165, 3.3423, -0.3398], [-4.7485, -1.8240, -1.7861]],
  "species": ["Dy", "Na", "Pt", "Pt", "Pt", "Pt"],
  "fractional_positions": [[0.7500, 0.7500, 0.7500], [0.0000, 0.0000, 0.0000], [0.8758, 0.3747, 0.3747], [0.3747, 0.3747, 0.3747], [0.3747, 0.8758, 0.3747], [0.3747, 0.3747, 0.8758]],
  "dft_energy_ry_per_atom": -0.4293
}

***

(4)
{
  "formula": "Co3Bi",
  "functional": "PBE-GGA",
  "state": "relaxed",
  "lattice": [[-3.0764, -2.2570, 4.2540], [4.1346, -3.0701, -2.4770], [2.7395, 1.4642, 2.7580]],
  "species": ["Bi", "Bi", "Co", "Co", "Co", "Co", "Co", "Co"],
  "fractional_positions": [[0.6667, 0.3333, 0.2500], [0.3333, 0.6667, 0.7500], [0.1430, 0.2861, 0.2500], [0.1430, 0.8570, 0.2500], [0.7139, 0.8570, 0.2500], [0.2861, 0.1430, 0.7500], [0.8570, 0.1430, 0.7500], [0.8570, 0.7139, 0.7500]],
  "e_above_lowest_polymorph_ev_per_fu": 0.00,
  "dft_energy_ry_per_atom": -0.4372
}